Entry 1:
Computed, not measured: TaCoPb2 after structural relaxation at the GGA-PBE level of DFT.

abc: 3.145 3.145 7.991
angles: 90.00 90.00 90.00
Space group P4/mmm (No. 123)
One atom of each set of equivalent atoms:
Ta 0.000 0.000 0.000
Co 0.000 0.000 0.500
Pb 0.500 0.500 0.281

Summary:
- ΔE to the lowest computed polymorph (meV/atom) = 506.4

---

Entry 2:
Computed, not measured: TaCoPb after structural relaxation at the GGA-PBE level of DFT.

abc: 3.3154 3.3154 6.2118
angles: 90.00 90.00 120.00
Space group P3m1 (No. 156)
One atom of each set of equivalent atoms:
Ta 0.0000 0.0000 0.0000
Co 0.3333 0.6667 0.2276
Pb 0.6667 0.3333 0.5832

---

The calculation returns the following uncorrected energy values, one per record and in order: -5.881 -7.176 eV/atom.